Density functional theory data (PBE) for a relaxed MgBr crystal.

Properties
Crystal system ... cubic
Size of the total moment ... 0.00 μB per cell
DOS(E_F) ... 0.58 states/eV/atom
Formation energy from raw total energies ... -0.4476 eV per atom

a = 4.7338 Å, b = 4.7338 Å, c = 4.7338 Å
α = 60.00°, β = 60.00°, γ = 60.00°
Atoms (fractional coordinates):
Mg 0.0000 0.0000 0.0000
Br 0.7500 0.7500 0.7500